# Li2Tm2ThBi2

A relaxed Li2Tm2ThBi2 crystal (PBE-GGA, the Alexandria database).

Output
total DFT energy (no corrections)	-89.37	eV for the cell shown
total moment	0.00	μB per formula unit
DFT formation energy	-0.262	eV per atom
density	9.0	g cm⁻³

Geometry as CIF:
```
data_Li2Tm2ThBi2
_cell_length_a 4.8849
_cell_length_b 4.8849
_cell_length_c 26.7988
_cell_angle_alpha 90.00
_cell_angle_beta 90.00
_cell_angle_gamma 120.00
_symmetry_space_group_name_H-M 'R -3 m'
_symmetry_Int_Tables_number 166
_symmetry_space_group_name_Hall '-R 3 2"'
loop_
_atom_site_label
_atom_site_type_symbol
_atom_site_fract_x
_atom_site_fract_y
_atom_site_fract_z
Li1 Li 0.0000 0.0000 0.0887
Tm1 Tm 0.0000 0.0000 0.3693
Th1 Th 0.0000 0.0000 0.5000
Bi1 Bi 0.0000 0.0000 0.2373
```



# MgAl2Pb

A relaxed MgAl2Pb crystal (PBE-GGA, the Alexandria database).

Output
total DFT energy (no corrections)	-12.37	eV for the cell shown
total moment	0.00	μB per formula unit
DFT formation energy	0.105	eV per atom
density	5.3	g cm⁻³

Geometry as CIF:
```
data_MgAl2Pb
_cell_length_a 3.192
_cell_length_b 3.192
_cell_length_c 8.699
_cell_angle_alpha 90.00
_cell_angle_beta 90.00
_cell_angle_gamma 90.00
_symmetry_space_group_name_H-M 'P 4 m m'
_symmetry_Int_Tables_number 99
loop_
_symmetry_equiv_pos_as_xyz
'x,y,z'
'-y,x,z'
'-x,-y,z'
'y,-x,z'
'-x,y,z'
'y,x,z'
'x,-y,z'
'-y,-x,z'
loop_
_atom_site_label
_atom_site_type_symbol
_atom_site_fract_x
_atom_site_fract_y
_atom_site_fract_z
Mg1 Mg 0.000 0.000 0.000
Al1 Al 0.000 0.000 0.575
Al2 Al 0.500 0.500 0.768
Pb1 Pb 0.500 0.500 0.297
```



# Y2Ho2Tm7

A relaxed Y2Ho2Tm7 crystal (PBE-GGA, the Alexandria database).

Output
total DFT energy (no corrections)	-52.08	eV for the cell shown
total moment	0.00	μB per formula unit
DFT formation energy	0.119	eV per atom
energy above the most stable polymorph in this dataset	0	meV per atom
density	8.2	g cm⁻³

Geometry as CIF:
```
data_Y2Ho2Tm7
_cell_length_a 6.214
_cell_length_b 6.502
_cell_length_c 8.683
_cell_angle_alpha 100.01
_cell_angle_beta 95.07
_cell_angle_gamma 92.54
_symmetry_space_group_name_H-M 'P -1'
_symmetry_Int_Tables_number 2
loop_
_symmetry_equiv_pos_as_xyz
'x,y,z'
'-x,-y,-z'
loop_
_atom_site_label
_atom_site_type_symbol
_atom_site_fract_x
_atom_site_fract_y
_atom_site_fract_z
Y1 Y 0.058 0.140 0.362
Ho1 Ho 0.180 0.826 0.992
Tm1 Tm 0.049 0.392 0.729
Tm2 Tm 0.348 0.349 0.092
Tm3 Tm 0.458 0.064 0.701
Tm4 Tm 0.500 0.500 0.500
```



# Be2HgIr

A relaxed Be2HgIr crystal (PBE-GGA, the Alexandria database).

Output
total DFT energy (no corrections)	-31.44	eV for the cell shown
total moment	0.00	μB per formula unit
DFT formation energy	0.224	eV per atom
density	12.1	g cm⁻³

Geometry as CIF:
```
data_Be2HgIr
_cell_length_a 2.930
_cell_length_b 4.883
_cell_length_c 7.850
_cell_angle_alpha 90.00
_cell_angle_beta 90.00
_cell_angle_gamma 90.00
_symmetry_space_group_name_H-M 'C m m m'
_symmetry_Int_Tables_number 65
_symmetry_space_group_name_Hall '-C 2 2'
loop_
_atom_site_label
_atom_site_type_symbol
_atom_site_fract_x
_atom_site_fract_y
_atom_site_fract_z
Be1 Be 0.000 0.000 0.220
Hg1 Hg 0.000 0.500 0.500
Ir1 Ir 0.000 0.500 0.000
```



# Dy3TaRu4

A relaxed Dy3TaRu4 crystal (PBE-GGA, the Alexandria database).

Output
total DFT energy (no corrections)	-65.83	eV for the cell shown
total moment	0.00	μB per formula unit
DFT formation energy	-0.384	eV per atom
density	12.0	g cm⁻³

Geometry as CIF:
```
data_Dy3TaRu4
_cell_length_a 3.306
_cell_length_b 3.306
_cell_length_c 13.619
_cell_angle_alpha 90.00
_cell_angle_beta 90.00
_cell_angle_gamma 90.00
_symmetry_space_group_name_H-M 'P 4/m m m'
_symmetry_Int_Tables_number 123
_symmetry_space_group_name_Hall '-P 4 2'
loop_
_atom_site_label
_atom_site_type_symbol
_atom_site_fract_x
_atom_site_fract_y
_atom_site_fract_z
Dy1 Dy 0.000 0.000 0.000
Dy2 Dy 0.000 0.000 0.251
Ta1 Ta 0.000 0.000 0.500
Ru1 Ru 0.500 0.500 0.129
Ru2 Ru 0.500 0.500 0.392
```



# PRuSeS2

A relaxed PRuSeS2 crystal (PBE-GGA, the Alexandria database).

Output
total DFT energy (no corrections)	-19.46	eV for the cell shown
total moment	2.62	μB per formula unit
energy above the most stable polymorph in this dataset	798	meV per atom
density	4.4	g cm⁻³

Geometry as CIF:
```
data_PRuSeS2
_cell_length_a 4.667
_cell_length_b 4.667
_cell_length_c 4.769
_cell_angle_alpha 90.00
_cell_angle_beta 90.00
_cell_angle_gamma 90.00
_symmetry_space_group_name_H-M 'P 4/m m m'
_symmetry_Int_Tables_number 123
_symmetry_space_group_name_Hall '-P 4 2'
loop_
_atom_site_label
_atom_site_type_symbol
_atom_site_fract_x
_atom_site_fract_y
_atom_site_fract_z
P1 P 0.000 0.000 0.000
Ru1 Ru 0.500 0.500 0.000
Se1 Se 0.000 0.000 0.500
S1 S 0.000 0.500 0.500
```



# Np2FeNi3P4

A relaxed Np2FeNi3P4 crystal (PBE-GGA, the Alexandria database).

Output
total DFT energy (no corrections)	-80.23	eV for the cell shown
total moment	8.37	μB per formula unit
DFT formation energy	-0.691	eV per atom
density	9.7	g cm⁻³

Geometry as CIF:
```
data_Np2FeNi3P4
_cell_length_a 3.978
_cell_length_b 3.978
_cell_length_c 9.008
_cell_angle_alpha 90.00
_cell_angle_beta 90.00
_cell_angle_gamma 90.00
_symmetry_space_group_name_H-M 'P -4 m 2'
_symmetry_Int_Tables_number 115
loop_
_symmetry_equiv_pos_as_xyz
'x,y,z'
'y,-x,-z'
'-x,-y,z'
'-y,x,-z'
'-x,y,z'
'-y,-x,-z'
'x,-y,z'
'y,x,-z'
loop_
_atom_site_label
_atom_site_type_symbol
_atom_site_fract_x
_atom_site_fract_y
_atom_site_fract_z
Np1 Np 0.000 0.500 0.246
Fe1 Fe 0.000 0.000 0.500
Ni1 Ni 0.000 0.500 0.885
Ni2 Ni 0.500 0.500 0.500
P1 P 0.000 0.000 0.000
P2 P 0.000 0.500 0.633
P3 P 0.500 0.500 0.000
```



# Tb2PmSc3

A relaxed Tb2PmSc3 crystal (PBE-GGA, the Alexandria database).

Output
total DFT energy (no corrections)	-65.13	eV for the cell shown
total moment	0.00	μB per formula unit
DFT formation energy	0.074	eV per atom
density	5.8	g cm⁻³

Geometry as CIF:
```
data_Tb2PmSc3
_cell_length_a 5.981
_cell_length_b 3.456
_cell_length_c 16.653
_cell_angle_alpha 90.00
_cell_angle_beta 96.89
_cell_angle_gamma 90.00
_symmetry_space_group_name_H-M 'P 1 21/m 1'
_symmetry_Int_Tables_number 11
loop_
_symmetry_equiv_pos_as_xyz
'x,y,z'
'-x,-y,-z'
'-x,y+1/2,-z'
'x,-y+1/2,z'
loop_
_atom_site_label
_atom_site_type_symbol
_atom_site_fract_x
_atom_site_fract_y
_atom_site_fract_z
Tb1 Tb 0.027 0.250 0.333
Tb2 Tb 0.250 0.250 0.000
Pm1 Pm 0.472 0.250 0.668
Sc1 Sc 0.138 0.750 0.166
Sc2 Sc 0.248 0.750 0.499
Sc3 Sc 0.361 0.750 0.835
```